# Pm3Th5S8

Pm3Th5S8 after structural relaxation (GGA-PBE, Alexandria via LeMat-Bulk).

The value obtained for the formation energy from raw total energies is -1.908 eV per atom. The total energy comes out at -344.70 eV per cell.

It has space group R-3m (No. 166, hexagonal axes), with a = 8.0404 Å, b = 8.0404 Å, c = 19.9284 Å, α = 90.00°, β = 90.00° and γ = 120.00°. The inequivalent atoms are Pm at (0.0000, 0.5000, 0.0000), Th at (0.0000, 0.0000, 0.0000), Th at (0.0000, 0.0000, 0.5000), Th at (0.0000, 0.5000, 0.5000), S at (0.0000, 0.0000, 0.2511) and S at (0.0018, 0.5009, 0.2510).

# Pm3ThS4

Pm3ThS4 after structural relaxation (GGA-PBE, Alexandria via LeMat-Bulk).

The value obtained for the formation energy from raw total energies is -1.967 eV per atom. Its polymorph energy (0 for the lowest one) is 0.0128 eV per atom. The total energy comes out at -53.92 eV per cell.

It has space group Pm-3m (No. 221), with a = 5.708 Å, b = 5.708 Å, c = 5.708 Å, α = 90.00°, β = 90.00° and γ = 90.00°. The inequivalent atoms are Pm at (0.000, 0.000, 0.500), Th at (0.500, 0.500, 0.500), S at (0.000, 0.000, 0.000) and S at (0.000, 0.500, 0.500).